P:
An optimized crystal structure of Rb2CuH. Source: the Alexandria database, functional PBE-GGA.

Results
- crystal system = tetragonal
- Fermi-level density of states (states/eV per cell) = 0.00

Unit cell a=7.370 b=7.370 c=7.370 alpha=113.09 beta=113.09 gamma=102.45
Element x y z (fractional)
Rb1 0.060 0.625 0.935
Rb2 0.375 0.310 0.435
Rb3 0.690 0.125 0.065
Rb4 0.875 0.940 0.565
Cu1 0.250 0.750 0.500
Cu2 0.500 0.500 0.000
H1 0.000 0.000 0.000
H2 0.750 0.250 0.500

Q:
An optimized crystal structure of Rb2CuH. Source: the Alexandria database, functional PBE-GGA.

Results
- crystal system = cubic
- Fermi-level density of states (states/eV per cell) = 0.00

Unit cell a=5.669 b=5.669 c=5.669 alpha=60.00 beta=60.00 gamma=60.00
Element x y z (fractional)
Rb1 0.250 0.250 0.250
Rb2 0.750 0.750 0.750
Cu1 0.000 0.000 0.000
H1 0.500 0.500 0.500

Sorted by energy, starting with the most stable: P, Q.

P:
An optimized crystal structure of RbCu3H. Source: the Alexandria database, functional PBE-GGA.

Results
- crystal system = cubic
- Fermi-level density of states (states/eV per cell) = 1.04

Unit cell a=6.451 b=6.451 c=6.451 alpha=90.00 beta=90.00 gamma=90.00
Element x y z (fractional)
Rb1 0.000 0.000 0.000
Cu1 0.000 0.000 0.500
Cu2 0.000 0.500 0.000
Cu3 0.500 0.000 0.000
H1 0.500 0.500 0.500

Q:
An optimized crystal structure of RbCu3H. Source: the Alexandria database, functional PBE-GGA.

Results
- crystal system = cubic
- Fermi-level density of states (states/eV per cell) = 1.38

Unit cell a=4.360 b=4.360 c=4.360 alpha=90.00 beta=90.00 gamma=90.00
Element x y z (fractional)
Rb1 0.000 0.000 0.000
Cu1 0.000 0.500 0.500
Cu2 0.500 0.000 0.500
Cu3 0.500 0.500 0.000
H1 0.500 0.500 0.500

Sorted by energy, starting with the most stable: Q, P.

P:
An optimized crystal structure of RbCu2H. Source: the Alexandria database, functional PBE-GGA.

Results
- crystal system = tetragonal
- Fermi-level density of states (states/eV per cell) = 0.50

Unit cell a=6.161 b=6.161 c=6.161 alpha=126.92 beta=126.92 gamma=78.39
Element x y z (fractional)
Rb1 0.375 0.625 0.750
Rb2 0.625 0.375 0.250
Cu1 0.000 0.000 0.000
Cu2 0.000 0.000 0.500
Cu3 0.000 0.500 0.000
Cu4 0.500 0.000 0.500
H1 0.125 0.875 0.250
H2 0.875 0.125 0.750

Q:
An optimized crystal structure of RbCu2H. Source: the Alexandria database, functional PBE-GGA.

Results
- crystal system = cubic
- Fermi-level density of states (states/eV per cell) = 2.86

Unit cell a=4.943 b=4.943 c=4.943 alpha=60.00 beta=60.00 gamma=60.00
Element x y z (fractional)
Rb1 0.000 0.000 0.000
Cu1 0.250 0.250 0.250
Cu2 0.750 0.750 0.750
H1 0.500 0.500 0.500

Sorted by energy, starting with the most stable: P, Q.

P:
An optimized crystal structure of CuReH2. Source: the Alexandria database, functional PBE-GGA.

Results
- crystal system = cubic
- Fermi-level density of states (states/eV per cell) = 2.34

Unit cell a=3.605 b=3.605 c=3.605 alpha=60.00 beta=60.00 gamma=60.00
Element x y z (fractional)
Cu1 0.000 0.000 0.000
Re1 0.500 0.500 0.500
H1 0.250 0.250 0.250
H2 0.750 0.750 0.750

Q:
An optimized crystal structure of CuReH2. Source: the Alexandria database, functional PBE-GGA.

Results
- crystal system = tetragonal
- Fermi-level density of states (states/eV per cell) = 2.68

Unit cell a=4.782 b=4.782 c=4.782 alpha=126.26 beta=126.26 gamma=79.46
Element x y z (fractional)
Cu1 0.000 0.000 0.000
Cu2 0.750 0.250 0.500
Re1 0.250 0.750 0.500
Re2 0.500 0.500 0.000
H1 0.114 0.625 0.989
H2 0.375 0.364 0.489
H3 0.636 0.125 0.011
H4 0.875 0.886 0.511

Sorted by energy, starting with the most stable: Q, P.

P:
An optimized crystal structure of Ta2CuReH. Source: the Alexandria database, functional PBE-GGA.

Results
- crystal system = tetragonal
- Fermi-level density of states (states/eV per cell) = 3.67

Unit cell a=4.140 b=4.140 c=3.846 alpha=90.00 beta=90.00 gamma=90.00
Element x y z (fractional)
Ta1 0.000 0.500 0.000
Ta2 0.500 0.000 0.000
Cu1 0.000 0.000 0.500
Re1 0.500 0.500 0.500
H1 0.500 0.500 0.000

Q:
An optimized crystal structure of Ta2CuReH. Source: the Alexandria database, functional PBE-GGA.

Results
- crystal system = tetragonal
- Fermi-level density of states (states/eV per cell) = 2.70

Unit cell a=4.389 b=4.389 c=3.404 alpha=90.00 beta=90.00 gamma=90.00
Element x y z (fractional)
Ta1 0.000 0.500 0.000
Ta2 0.500 0.000 0.000
Cu1 0.000 0.000 0.500
Re1 0.500 0.500 0.500
H1 0.000 0.000 0.000

Sorted by energy, starting with the most stable: Q, P.

P:
An optimized crystal structure of CuH4Rh. Source: the Alexandria database, functional PBE-GGA.

Results
- crystal system = monoclinic
- Fermi-level density of states (states/eV per cell) = 0.69

Unit cell a=5.607 b=5.607 c=4.681 alpha=100.25 beta=100.25 gamma=130.12
Element x y z (fractional)
Cu1 0.197 0.803 0.750
Cu2 0.803 0.197 0.250
H1 0.009 0.621 0.331
H2 0.166 0.287 0.160
H3 0.287 0.166 0.660
H4 0.379 0.991 0.169
H5 0.621 0.009 0.831
H6 0.713 0.834 0.340
H7 0.834 0.713 0.840
H8 0.991 0.379 0.669
Rh1 0.068 0.932 0.250
Rh2 0.932 0.068 0.750

Q:
An optimized crystal structure of CuH4Rh. Source: the Alexandria database, functional PBE-GGA.

Results
- crystal system = monoclinic
- Fermi-level density of states (states/eV per cell) = 0.43

Unit cell a=4.551 b=4.551 c=5.023 alpha=108.01 beta=108.01 gamma=107.35
Element x y z (fractional)
Cu1 0.234 0.766 0.750
Cu2 0.766 0.234 0.250
H1 0.067 0.722 0.006
H2 0.254 0.380 0.469
H3 0.278 0.933 0.494
H4 0.380 0.254 0.969
H5 0.620 0.746 0.031
H6 0.722 0.067 0.506
H7 0.746 0.620 0.531
H8 0.933 0.278 0.994
Rh1 0.374 0.626 0.250
Rh2 0.626 0.374 0.750

Sorted by energy, starting with the most stable: Q, P.

P:
An optimized crystal structure of Cu2H2Rh. Source: the Alexandria database, functional PBE-GGA.

Results
- crystal system = tetragonal
- Fermi-level density of states (states/eV per cell) = 1.08

Unit cell a=3.590 b=3.590 c=3.849 alpha=90.00 beta=90.00 gamma=90.00
Element x y z (fractional)
Cu1 0.000 0.500 0.000
Cu2 0.500 0.000 0.000
H1 0.000 0.500 0.500
H2 0.500 0.000 0.500
Rh1 0.000 0.000 0.500

Q:
An optimized crystal structure of Cu2H2Rh. Source: the Alexandria database, functional PBE-GGA.

Results
- crystal system = tetragonal
- Fermi-level density of states (states/eV per cell) = 2.11

Unit cell a=4.755 b=4.755 c=4.755 alpha=139.90 beta=139.90 gamma=58.01
Element x y z (fractional)
Cu1 0.164 0.164 0.000
Cu2 0.836 0.836 0.000
H1 0.250 0.750 0.500
H2 0.750 0.250 0.500
Rh1 0.500 0.500 0.000

Sorted by energy, starting with the most stable: P, Q.

P:
An optimized crystal structure of CuH2Rh. Source: the Alexandria database, functional PBE-GGA.

Results
- crystal system = triclinic
- Fermi-level density of states (states/eV per cell) = 0.94

Unit cell a=2.903 b=2.933 c=4.671 alpha=72.48 beta=72.06 gamma=60.35
Element x y z (fractional)
Cu1 0.000 0.000 0.000
H1 0.234 0.219 0.310
H2 0.767 0.776 0.690
Rh1 0.500 0.498 0.500

Q:
An optimized crystal structure of CuH2Rh. Source: the Alexandria database, functional PBE-GGA.

Results
- crystal system = tetragonal
- Fermi-level density of states (states/eV per cell) = 2.42

Unit cell a=5.174 b=5.174 c=5.174 alpha=134.98 beta=134.98 gamma=65.56
Element x y z (fractional)
Cu1 0.000 0.000 0.000
Cu2 0.750 0.250 0.500
H1 0.134 0.625 0.009
H2 0.375 0.384 0.509
H3 0.616 0.125 0.991
H4 0.875 0.866 0.491
Rh1 0.250 0.750 0.500
Rh2 0.500 0.500 0.000

R:
An optimized crystal structure of CuH2Rh. Source: the Alexandria database, functional PBE-GGA.

Results
- crystal system = trigonal
- Fermi-level density of states (states/eV per cell) = 1.42

Unit cell a=5.121 b=5.121 c=5.121 alpha=32.20 beta=32.20 gamma=32.20
Element x y z (fractional)
Cu1 0.000 0.000 0.000
H1 0.216 0.216 0.216
H2 0.426 0.426 0.426
Rh1 0.821 0.821 0.821

Sorted by energy, starting with the most stable: P, Q, R.